La2PuS5: relaxed, GGA-PBE.

Space-group type: Pnma (62)
Crystal system: orthorhombic
E_tot: -7.53 eV/atom
Volume: 23.28 A^3/atom
ΔE_f (raw): -1928.3 meV per atom

Lattice parameters (Å, degrees): 7.574 8.218 11.971 90.00 90.00 90.00
Last column: magnetic moment on the atom in μB.
Fractional positions:
Pu: 0.553 0.750 0.495  4.52
S: 0.319 0.250 0.289  -0.06
S: 0.681 0.750 0.711  -0.06
S: 0.951 0.750 0.498  -0.06
La: 0.463 0.502 0.826  0.00
Pu: 0.053 0.250 0.005  4.52
S: 0.168 0.966 0.090  -0.14
S: 0.049 0.250 0.502  -0.06
S: 0.668 0.034 0.410  -0.14
Pu: 0.447 0.250 0.505  4.52
S: 0.332 0.534 0.590  -0.14
S: 0.832 0.034 0.910  -0.14
S: 0.841 0.250 0.192  -0.06
S: 0.819 0.750 0.211  -0.06
La: 0.963 0.498 0.674  0.00
S: 0.549 0.750 0.998  -0.06
La: 0.037 0.998 0.326  0.00
Pu: 0.947 0.750 0.995  4.52
S: 0.832 0.466 0.910  -0.14
S: 0.341 0.750 0.308  -0.06
S: 0.181 0.250 0.789  -0.06
La: 0.963 0.002 0.674  0.00
La: 0.537 0.002 0.174  0.00
La: 0.037 0.502 0.326  0.00
S: 0.451 0.250 0.002  -0.06
S: 0.668 0.466 0.410  -0.14
S: 0.659 0.250 0.692  -0.06
S: 0.332 0.966 0.590  -0.14
S: 0.168 0.534 0.090  -0.14
La: 0.463 0.998 0.826  0.00
La: 0.537 0.498 0.174  0.00
S: 0.159 0.750 0.808  -0.06


Na2CdAgF8: relaxed, GGA-PBE.

Space-group type: P-1 (2)
Crystal system: triclinic
E_tot: -3.60 eV/atom
Volume: 14.36 A^3/atom
ΔE_f (raw): -1816.0 meV per atom

Lattice parameters (Å, degrees): 4.348 5.465 7.292 91.83 88.66 95.73
Last column: magnetic moment on the atom in μB.
Fractional positions:
Na: 0.512 0.514 0.255  0.00
Ag: 0.000 0.000 0.000  0.30
F: 0.627 0.767 0.000  0.02
F: 0.104 0.770 0.232  0.21
F: 0.133 0.799 0.784  0.04
F: 0.407 0.249 0.486  0.04
F: 0.896 0.230 0.768  0.21
F: 0.593 0.751 0.514  0.04
F: 0.867 0.201 0.216  0.04
Na: 0.488 0.486 0.745  0.00
Cd: 0.000 0.000 0.500  0.01
F: 0.373 0.233 0.000  0.02


DyNp6Se8: relaxed, GGA-PBE.

Space-group type: Fm-3m (225)
Crystal system: cubic
E_tot: -8.56 eV/atom
Volume: 25.83 A^3/atom
ΔE_f (raw): -1217.7 meV per atom

Lattice parameters (Å, degrees): 8.183 8.183 8.183 60.00 60.00 60.00
Last column: magnetic moment on the atom in μB.
Fractional positions:
Np: 0.500 0.000 0.000  4.05
Se: 0.749 0.749 0.251  -0.07
Np: 0.000 0.500 0.000  4.05
Np: 0.000 0.000 0.500  4.05
Se: 0.749 0.251 0.749  -0.07
Se: 0.251 0.251 0.749  -0.07
Se: 0.749 0.251 0.251  -0.07
Dy: 0.000 0.000 0.000  0.17
Se: 0.750 0.750 0.750  -0.09
Np: 0.000 0.500 0.500  4.05
Se: 0.250 0.250 0.250  -0.09
Se: 0.251 0.749 0.749  -0.07
Np: 0.500 0.500 0.000  4.05
Se: 0.251 0.749 0.251  -0.07
Np: 0.500 0.000 0.500  4.05


HfAlCu3: relaxed, GGA-PBE.

Space-group type: Pm-3m (221)
Crystal system: cubic
E_tot: -4.74 eV/atom
Energy above the lowest structure with this stoichiometry: 602 meV/atom
Volume: 16.67 A^3/atom
Energy of formation: 0.461 eV/atom

Lattice parameters (Å, degrees): 4.369 4.369 4.369 90.00 90.00 90.00
Fractional positions:
Hf: 0.500 0.500 0.500
Cu: 0.000 0.000 0.500
Cu: 0.500 0.000 0.000
Cu: 0.000 0.500 0.000
Al: 0.000 0.000 0.000


BPdS: relaxed, GGA-PBE.

Space-group type: P-1 (2)
Crystal system: triclinic
E_tot: -5.48 eV/atom
Energy above the lowest structure with this stoichiometry: 67 meV/atom
Volume: 14.33 A^3/atom
ΔE_f (raw): -143.6 meV per atom

Lattice parameters (Å, degrees): 3.024 4.465 6.628 89.03 83.50 75.28
Fractional positions:
Pd: 0.347 0.274 0.624
S: 0.455 0.766 0.773
Pd: 0.653 0.726 0.376
S: 0.545 0.234 0.227
B: 0.000 0.419 0.115
B: 0.000 0.581 0.885


BaSr2Li2Sn2: relaxed, GGA-PBE.

Space-group type: R-3m (166)
Crystal system: trigonal
E_tot: -2.95 eV/atom
Volume: 34.05 A^3/atom
Energy of formation: -0.509 eV/atom

Lattice parameters (Å, degrees): 5.207 5.207 10.587 75.77 75.77 60.00
Fractional positions:
Sr: 0.128 0.128 0.615
Sn: 0.747 0.747 0.760
Li: 0.406 0.406 0.781
Ba: 0.000 0.000 0.000
Li: 0.594 0.594 0.219
Sr: 0.872 0.872 0.385
Sn: 0.253 0.253 0.240


TlSb6Au12: relaxed, GGA-PBE.

Space-group type: R-3 (148)
Crystal system: trigonal
E_tot: -3.50 eV/atom
Volume: 23.85 A^3/atom
ΔE_f (raw): -6.8 meV per atom

Lattice parameters (Å, degrees): 11.147 7.794 7.794 80.84 61.53 118.47
Fractional positions:
Sb: 0.029 0.282 0.504
Tl: 0.000 0.000 0.000
Au: 0.511 0.084 0.730
Sb: 0.533 0.504 0.214
Sb: 0.467 0.496 0.786
Sb: 0.971 0.718 0.496
Sb: 0.747 0.214 0.282
Au: 0.181 0.073 0.534
Au: 0.759 0.270 0.814
Au: 0.428 0.186 0.084
Au: 0.819 0.927 0.466
Sb: 0.253 0.786 0.718
Au: 0.715 0.534 0.393
Au: 0.572 0.814 0.916
Au: 0.241 0.730 0.186
Au: 0.108 0.393 0.073
Au: 0.285 0.466 0.607
Au: 0.892 0.607 0.927
Au: 0.489 0.916 0.270


ErScTlIr: relaxed, GGA-PBE.

Space-group type: F-43m (216)
Crystal system: cubic
E_tot: -6.03 eV/atom
Energy above the lowest structure with this stoichiometry: 139 meV/atom
Volume: 21.31 A^3/atom
Energy of formation: -0.497 eV/atom

Lattice parameters (Å, degrees): 4.940 4.940 4.940 60.00 60.00 60.00
Fractional positions:
Er: 0.750 0.750 0.750
Sc: 0.250 0.250 0.250
Tl: 0.500 0.500 0.500
Ir: 0.000 0.000 0.000


> The lowest E_tot belongs to which entry?

DyNp6Se8